DFT (PBE) results for a relaxed structure of BaPaGa2Br8.

Structure (POSCAR):
```
BaPaGa2Br8
1.0
7.1729 0.0000 0.0000
0.0000 9.3549 0.0000
-0.2202 0.0000 7.3409
Ba Pa Ga Br
1 1 2 8
direct
0.0000 0.0000 0.0000 Ba
0.0000 0.5000 0.0000 Pa
0.5000 0.2339 0.5000 Ga
0.5000 0.7661 0.5000 Ga
0.2235 0.5000 0.3132 Br
0.2269 0.2800 0.8534 Br
0.2269 0.7200 0.8534 Br
0.2754 0.0000 0.3532 Br
0.7246 0.0000 0.6468 Br
0.7731 0.2800 0.1466 Br
0.7731 0.7200 0.1466 Br
0.7765 0.5000 0.6868 Br
```

Calculated values
DOS(E_F) = 0.730 states/eV/f.u.
V = 41.049 A^3/atom
DFT total energy = -46.68 eV per cell
crystal system = monoclinic